No. 1
A plane-wave DFT calculation with GGA-PBE was carried out for a geometry-optimized TaCr2Hg structure.

```
TaCr2Hg
1.0
2.9228 0.0000 0.0000
0.0000 3.8024 0.0000
-0.8283 0.0000 5.7337
Ta Cr Hg
1 2 1
Cartesian
0.0000 0.0000 0.0000
1.2406 1.9012 1.2832
2.1415 0.0000 2.2907
0.6547 1.9012 3.9439
```

Output
As for the space group: Pm, No. 6. The uncorrected energy comes out at -7.445 eV/atom.

No. 2
A plane-wave DFT calculation with GGA-PBE was carried out for a geometry-optimized AgMoRh2 structure.

```
AgMoRh2
1.0
9.1278 0.0000 0.0000
0.0000 2.7586 0.0000
-0.8317 0.0000 4.8642
Ag Mo Rh
2 2 4
Cartesian
0.0000 0.0000 0.0000
4.5639 1.3793 0.0000
-0.4159 1.3793 2.4321
4.1480 0.0000 2.4321
1.6209 0.0000 3.5827
2.1112 1.3793 1.2814
6.1848 1.3793 3.5827
6.6751 0.0000 1.2814
```

Output
As for the space group: C2/m, No. 12. Its excess energy over the best structure of this formula in the dataset is 0.191 eV per atom.

No. 3
A plane-wave DFT calculation with GGA-PBE was carried out for a geometry-optimized VAgH3 structure.

```
VAgH3
1.0
3.6247 0.0000 0.0000
0.0000 3.6247 0.0000
0.0000 0.0000 3.6247
V Ag H
1 1 3
Cartesian
0.0000 0.0000 0.0000
1.8123 1.8123 1.8123
0.0000 1.8123 1.8123
1.8123 0.0000 1.8123
1.8123 1.8123 0.0000
```

Output
As for the space group: Pm-3m, No. 221. Its excess energy over the best structure of this formula in the dataset is 0.347 eV per atom.

No. 4
A plane-wave DFT calculation with GGA-PBE was carried out for a geometry-optimized LiPmBe2Ge2 structure.

```
LiPmBe2Ge2
1.0
4.0227 0.0000 0.0000
-2.0114 3.4838 0.0000
0.0000 0.0000 6.8074
Li Pm Be Ge
1 1 2 2
Cartesian
0.0000 0.0000 0.0000
0.0000 0.0000 3.4037
0.0000 2.3225 1.2066
2.0114 1.1613 5.6007
0.0000 2.3225 5.3276
2.0114 1.1613 1.4798
```

Output
As for the space group: P-3m1, No. 164. The uncorrected energy comes out at -4.317 eV/atom.

No. 5
A plane-wave DFT calculation with GGA-PBE was carried out for a geometry-optimized TlGaS3 structure.

```
TlGaS3
1.0
4.8324 0.0000 0.0000
0.0000 4.8324 0.0000
0.0000 0.0000 4.8324
Tl Ga S
1 1 3
Cartesian
0.0000 0.0000 0.0000
2.4162 2.4162 2.4162
0.0000 2.4162 2.4162
2.4162 0.0000 2.4162
2.4162 2.4162 0.0000
```

Output
As for the space group: Pm-3m, No. 221. The value obtained for the uncorrected formation energy is 0.064 eV per atom.

No. 6
A plane-wave DFT calculation with GGA-PBE was carried out for a geometry-optimized Sm8Ho6Tm structure.

```
Sm8Ho6Tm
1.0
4.5335 2.6174 6.9146
-4.5335 2.6174 6.9146
0.0000 -5.2348 6.9146
Sm Ho Tm
8 6 1
Cartesian
0.0000 0.0000 1.6077
-0.1415 -1.9777 7.4645
-1.6420 1.1115 7.4645
-1.7836 -0.8663 13.2794
1.7836 0.8663 7.4645
1.6420 -1.1115 13.2794
0.1415 1.9777 13.2794
0.0000 0.0000 19.1362
-3.1861 -1.0861 9.5560
-0.6525 -3.3023 11.1879
-2.5336 2.2162 11.1879
2.5336 -2.2162 9.5560
0.6525 3.3023 9.5560
3.1861 1.0861 11.1879
0.0000 0.0000 10.3720
```

Output
As for the space group: R-3, No. 148. Its excess energy over the best structure of this formula in the dataset is 0.000 eV per atom.

No. 7
A plane-wave DFT calculation with GGA-PBE was carried out for a geometry-optimized Ti3Zn3Cu2 structure.

```
Ti3Zn3Cu2
1.0
3.9130 0.0000 0.0000
0.0000 4.0250 0.0000
0.0000 0.0000 14.8878
Ti Zn Cu
6 6 4
Cartesian
0.0000 0.0000 0.0000
0.0000 2.0125 1.9926
0.0000 2.0125 12.8952
1.9565 0.0000 5.4513
1.9565 0.0000 9.4365
1.9565 2.0125 7.4439
0.0000 0.0000 7.4439
0.0000 2.0125 5.4179
0.0000 2.0125 9.4699
1.9565 0.0000 2.0260
1.9565 0.0000 12.8619
1.9565 2.0125 0.0000
0.0000 0.0000 3.6821
0.0000 0.0000 11.2058
1.9565 2.0125 3.7619
1.9565 2.0125 11.1260
```

Output
As for the space group: Immm, No. 71. Its excess energy over the best structure of this formula in the dataset is 0.000 eV per atom.

No. 8
A plane-wave DFT calculation with GGA-PBE was carried out for a geometry-optimized CuPt structure.

```
CuPt
1.0
3.8279 0.0000 0.0000
0.0000 8.0751 0.0000
0.0000 0.0000 5.4174
Cu Pt
6 6
Cartesian
0.0000 0.0209 0.0000
0.0000 2.6330 0.0523
0.0000 5.4422 2.7611
0.0000 8.0542 2.7087
1.9140 1.3216 4.1201
1.9140 6.7535 1.4114
0.0000 2.6263 2.7810
0.0000 5.4488 0.0723
1.9140 1.2525 1.3624
1.9140 4.0033 4.1433
1.9140 4.0719 1.4346
1.9140 6.8226 4.0711
```

Output
As for the space group: Pmc2_1, No. 26. The uncorrected energy comes out at -5.199 eV/atom.

No. 9
A plane-wave DFT calculation with GGA-PBE was carried out for a geometry-optimized La2BiTe2 structure.

```
La2BiTe2
1.0
8.9891 0.0000 0.0000
0.0000 8.9891 0.0000
0.0000 0.0000 4.0406
La Bi Te
4 2 4
Cartesian
1.4751 3.0194 0.0000
3.0194 7.5140 0.0000
5.9696 1.4751 0.0000
7.5140 5.9696 0.0000
0.0000 0.0000 2.0203
4.4945 4.4945 2.0203
1.2164 5.7109 2.0203
3.2782 1.2164 2.0203
5.7109 7.7727 2.0203
7.7727 3.2782 2.0203
```

Output
As for the space group: P4/mbm, No. 127. The value obtained for the uncorrected formation energy is -1.089 eV per atom. Its excess energy over the best structure of this formula in the dataset is 0.139 eV per atom.

No. 10
A plane-wave DFT calculation with GGA-PBE was carried out for a geometry-optimized Li2BeNiRu structure.

```
Li2BeNiRu
1.0
3.9856 0.0000 0.0000
0.0000 3.9856 0.0000
0.0000 0.0000 3.8803
Li Be Ni Ru
2 1 1 1
Cartesian
0.0000 1.9928 0.0000
1.9928 0.0000 0.0000
0.0000 0.0000 0.0000
0.0000 0.0000 1.9402
1.9928 1.9928 1.9402
```

Output
As for the space group: P4/mmm, No. 123. The uncorrected energy comes out at -3.801 eV/atom.

No. 11
A plane-wave DFT calculation with GGA-PBE was carried out for a geometry-optimized SrTeOs2 structure.

```
SrTeOs2
1.0
4.2591 0.0000 0.0000
0.0000 4.2591 0.0000
0.0000 0.0000 4.4142
Sr Te Os
1 1 2
Cartesian
0.0000 0.0000 0.0000
2.1296 2.1296 0.0000
0.0000 2.1296 2.2071
2.1296 0.0000 2.2071
```

Output
As for the space group: P4/mmm, No. 123. The value obtained for the uncorrected formation energy is 0.956 eV per atom. Its excess energy over the best structure of this formula in the dataset is 0.852 eV per atom.

No. 12
A plane-wave DFT calculation with GGA-PBE was carried out for a geometry-optimized LaSmDyTh2 structure.

```
LaSmDyTh2
1.0
3.3720 -7.8937 0.0000
3.3720 7.8937 0.0000
0.0000 0.0000 6.7465
La Sm Dy Th
2 2 2 4
Cartesian
3.3720 3.9911 5.0598
3.3720 -3.9911 1.6866
3.3720 2.3858 1.6866
3.3720 -2.3858 5.0598
3.3720 5.5237 1.6866
3.3720 -5.5237 5.0598
1.6785 0.0000 0.0000
1.6785 0.0000 3.3732
5.0655 0.0000 0.0000
5.0655 0.0000 3.3732
```

Output
As for the space group: Cmcm, No. 63. The uncorrected energy comes out at -5.467 eV/atom.

No. 13
A plane-wave DFT calculation with GGA-PBE was carried out for a geometry-optimized Ac2ZrAg structure.

```
Ac2ZrAg
1.0
3.5664 0.0000 0.0000
-1.7832 3.0886 0.0000
0.0000 0.0000 35.5323
Ac Zr Ag
6 3 3
Cartesian
0.0000 0.0000 3.2658
0.0000 0.0000 32.2664
0.0000 2.0591 20.4223
0.0000 2.0591 26.9540
1.7832 1.0295 8.5782
1.7832 1.0295 15.1099
0.0000 0.0000 0.0000
0.0000 2.0591 23.6882
1.7832 1.0295 11.8441
0.0000 0.0000 17.7661
0.0000 2.0591 5.9221
1.7832 1.0295 29.6102
```

Output
As for the space group: R-3m, No. 166. Its excess energy over the best structure of this formula in the dataset is 0.435 eV per atom.